1.
Nd2Ga3Cu4Ir | the Alexandria database | PBE | optimized geometry; symmetry = P-4m2 (115); final energy = -47.49 eV per cell; total moment = 0.0 μB/f.u.
1.0
4.1080 0.0000 0.0000
0.0000 4.1080 0.0000
0.0000 0.0000 10.5697
Nd Ga Cu Ir
2 3 4 1
direct
0.0000 0.5000 0.2446
0.5000 0.0000 0.7554
0.0000 0.0000 0.0000
0.0000 0.5000 0.6275
0.5000 0.0000 0.3725
0.0000 0.0000 0.5000
0.0000 0.5000 0.8588
0.5000 0.0000 0.1412
0.5000 0.5000 0.5000
0.5000 0.5000 0.0000

***

2.
BaZn2Ru2 | the Alexandria database | PBE | optimized geometry; symmetry = I4/mmm (139); final energy = -22.02 eV per cell; total moment = 0.0 μB/f.u.
1.0
-2.3105 2.3105 4.8669
2.3105 -2.3105 4.8669
2.3105 2.3105 -4.8669
Ba Zn Ru
1 2 2
direct
0.0000 0.0000 0.0000
0.2500 0.7500 0.5000
0.7500 0.2500 0.5000
0.3800 0.3800 0.0000
0.6200 0.6200 0.0000

***

> Number 1 is which compound?

Nd2Ga3Cu4Ir

***

> Which formula does entry 1 have?

Nd2Ga3Cu4Ir

***

What did the first record say?
Nd2Ga3Cu4Ir | the Alexandria database | PBE | optimized geometry; symmetry = P-4m2 (115); final energy = -47.49 eV per cell; total moment = 0.0 μB/f.u.
1.0
4.1080 0.0000 0.0000
0.0000 4.1080 0.0000
0.0000 0.0000 10.5697
Nd Ga Cu Ir
2 3 4 1
direct
0.0000 0.5000 0.2446
0.5000 0.0000 0.7554
0.0000 0.0000 0.0000
0.0000 0.5000 0.6275
0.5000 0.0000 0.3725
0.0000 0.0000 0.5000
0.0000 0.5000 0.8588
0.5000 0.0000 0.1412
0.5000 0.5000 0.5000
0.5000 0.5000 0.0000